No. 1
AgHgSe2O6: optimized geometry, PBE-GGA.

Unit cell a=5.4787 b=5.4787 c=17.6958 alpha=90.00 beta=90.00 gamma=120.00
Space group R-3 (No. 148, hexagonal axes)
Asymmetric unit:
Ag  0.0000  0.0000  0.0000
Hg  0.0000  0.0000  0.5000
Se  0.0000  0.0000  0.2832
O  0.0003  0.2934  0.2461

Raw formation energy in meV/atom: -456

No. 2
SiAgHg2O4: optimized geometry, PBE-GGA.

Unit cell a=7.3168 b=7.3223 c=9.4168 alpha=90.00 beta=90.00 gamma=90.00
Space group Fmm2 (No. 42)
Asymmetric unit:
Si  0.0000  0.0000  0.0000
Ag  0.0000  0.0000  0.4986
Hg  0.2500  0.2500  0.2498
O  0.0000  0.1882  0.9008
O  0.1885  0.0000  0.0992

Raw formation energy in meV/atom: -1056

No. 3
Tc2AgHgO8: optimized geometry, PBE-GGA.

Unit cell a=7.5032 b=7.5032 c=7.3730 alpha=90.00 beta=90.00 gamma=90.00
Space group I-4m2 (No. 119)
Asymmetric unit:
Tc  0.0000  0.0000  0.0000
Tc  0.0000  0.5000  0.2500
Ag  0.0000  0.0000  0.5000
Hg  0.0000  0.5000  0.7500
O  0.0000  0.1884  0.8608
O  0.0000  0.3108  0.3896

Raw formation energy in meV/atom: -983